Record 1
The following is a DFT calculation (GGA-PBE) of a relaxed structure of SrCuO2.

Cell lengths 2.964, 3.384, 5.479 Å; angles 90.00, 90.00, 90.00 degrees
Space group Pmmm (No. 47)
Unique sites:
Sr (0.000, 0.000, 0.000)
Cu (0.000, 0.500, 0.500)
O (0.500, 0.500, 0.255)

Fermi-level density of states: 0.25 states/eV per atom
E_tot: -21.81 eV/cell
uncorrected formation energy: -6.12 eV per formula unit
total magnetization: 0.90 μB/f.u.



Record 2
The following is a DFT calculation (GGA-PBE) of a relaxed structure of Ca5SbO8.

Cell lengths 7.041, 7.041, 7.262 Å; angles 90.00, 90.00, 90.00 degrees
Space group I-4 (No. 82)
Unique sites:
Ca (0.000, 0.000, 0.000)
Ca (0.128, 0.258, 0.376)
Sb (0.000, 0.500, 0.750)
O (0.053, 0.222, 0.696)
O (0.068, 0.323, 0.055)

Fermi-level density of states: 0.42 states/eV per atom
E_tot: -172.53 eV/cell
uncorrected formation energy: -32.47 eV per formula unit
total magnetization: 1.05 μB/f.u.



Record 3
The following is a DFT calculation (GGA-PBE) of a relaxed structure of TaCu2As.

Cell lengths 3.309, 3.309, 5.528 Å; angles 90.00, 90.00, 90.00 degrees
Space group P4mm (No. 99)
Unique sites:
Ta (0.000, 0.000, 0.000)
Cu (0.000, 0.000, 0.522)
Cu (0.500, 0.500, 0.701)
As (0.500, 0.500, 0.220)

Fermi-level density of states: 0.57 states/eV per atom
E_tot: -24.53 eV/cell
DFT formation energy: 0.042 eV/atom
total magnetization: 0.00 μB/f.u.